First-principles (PBE-GGA) data for a relaxed Dy2NiGe2Rh5 crystal, as listed in the Alexandria database.

Properties
magnetic moment = 1.5 Bohr magnetons per cell
crystal system = tetragonal
calculated total energy = -6.73 eV per atom
Fermi-level density of states = 1.11 states/eV per atom
theoretical density = 10.42 g cm⁻³
energy of formation = -627 meV/atom
volume = 332.59 Å³ per cell

```
20
Lattice="9.663 0.000 0.000 0.000 9.663 0.000 0.000 0.000 3.562" Properties=species:S:1:pos:R:3 pbc="T T T"
Dy 1.673 3.159 0.000
Dy 3.159 7.990 0.000
Dy 6.504 1.673 0.000
Dy 7.990 6.504 0.000
Ni 0.000 0.000 0.000
Ni 4.831 4.831 0.000
Ge 1.231 6.062 0.000
Ge 3.601 1.231 0.000
Ge 6.062 8.432 0.000
Ge 8.432 3.601 0.000
Rh 0.000 4.831 1.781
Rh 0.627 7.710 1.781
Rh 1.953 0.627 1.781
Rh 2.878 5.458 1.781
Rh 4.204 2.878 1.781
Rh 4.831 0.000 1.781
Rh 5.458 6.785 1.781
Rh 6.785 4.204 1.781
Rh 7.710 9.036 1.781
Rh 9.036 1.953 1.781
```